[1]
! Pu2NiGe6Ir PBE relaxed; values from VASP
&SYSTEM
  ibrav = 0, nat = 20, ntyp = 4
/
ATOMIC_SPECIES
Pu 244.00 Pu.upf
Ni 58.69 Ni.upf
Ge 72.64 Ge.upf
Ir 192.22 Ir.upf
CELL_PARAMETERS angstrom
3.0287 1.7486 12.5324
-3.0287 1.7486 12.5324
0.0000 -3.4972 12.5324
ATOMIC_POSITIONS angstrom
Pu 0.0000 0.0000 4.7300
Pu 0.0000 0.0000 10.4862
Pu 0.0000 0.0000 27.1109
Pu 0.0000 0.0000 32.8671
Ni 0.0000 0.0000 0.0000
Ni 0.0000 0.0000 18.7986
Ge -1.7506 -1.0107 17.4378
Ge 0.0000 -1.9930 14.4193
Ge -1.7260 0.9965 14.4193
Ge -1.7260 -0.9965 23.1778
Ge 0.0000 -2.0215 20.1593
Ge -1.7506 1.0107 20.1593
Ge 1.7506 -1.0107 17.4378
Ge 0.0000 2.0215 17.4378
Ge 1.7260 0.9965 14.4193
Ge 1.7260 -0.9965 23.1778
Ge 0.0000 1.9930 23.1778
Ge 1.7506 1.0107 20.1593
Ir 0.0000 0.0000 15.9185
Ir 0.0000 0.0000 21.6786
! - energy of formation from the pure elements (eV/atom) = -0.22
! - volume (Å³/cell) = 398.2
! - DOS(E_F) (states/eV/f.u.) = 14.7

=====

[2]
! RbLiAgP PBE relaxed; values from VASP
&SYSTEM
  ibrav = 0, nat = 4, ntyp = 4
/
ATOMIC_SPECIES
Rb 85.47 Rb.upf
Li 6.94 Li.upf
Ag 107.87 Ag.upf
P 30.97 P.upf
CELL_PARAMETERS angstrom
2.2321 1.2887 6.2195
-2.2321 1.2887 6.2195
0.0000 -2.5774 6.2195
ATOMIC_POSITIONS angstrom
Rb 0.0000 0.0000 0.0000
Li 0.0000 0.0000 9.1742
Ag 0.0000 0.0000 3.2986
P 0.0000 0.0000 15.2549
! - energy of formation from the pure elements (eV/atom) = -0.32
! - volume (Å³/cell) = 107.3
! - DOS(E_F) (states/eV/f.u.) = 0.5

=====

[3]
! Zr2GeS PBE relaxed; values from VASP
&SYSTEM
  ibrav = 0, nat = 8, ntyp = 3
/
ATOMIC_SPECIES
Zr 91.22 Zr.upf
Ge 72.64 Ge.upf
S 32.06 S.upf
CELL_PARAMETERS angstrom
-2.9454 2.9454 6.0155
2.9454 -2.9454 6.0155
2.9454 2.9454 -6.0155
ATOMIC_POSITIONS angstrom
Zr 4.4182 1.3933 -1.5039
Zr 1.3933 1.4727 1.5039
Zr -1.4727 1.5521 4.5116
Zr 1.5521 1.4727 7.5193
Ge 2.9454 0.0000 3.0077
Ge 0.0000 0.0000 6.0155
S 0.0000 0.0000 0.0000
S 0.0000 2.9454 3.0077
! - volume (Å³/cell) = 208.8
! - DOS(E_F) (states/eV/f.u.) = 3.1
! - VASP energy (eV for the cell shown) = -55.264

=====

[4]
! Ho2Cd2In PBE relaxed; values from VASP
&SYSTEM
  ibrav = 0, nat = 10, ntyp = 3
/
ATOMIC_SPECIES
Ho 164.93 Ho.upf
Cd 112.41 Cd.upf
In 114.82 In.upf
CELL_PARAMETERS angstrom
5.5820 -2.4958 0.0000
5.5820 2.4958 0.0000
-3.3845 0.0000 9.1381
ATOMIC_POSITIONS angstrom
Ho -0.6354 0.0000 3.1641
Ho 1.6693 0.0000 0.5466
Ho 6.1103 0.0000 8.5915
Ho 8.4150 0.0000 5.9740
Cd 2.6599 0.0000 3.8451
Cd 4.8001 0.0000 1.2406
Cd 2.9795 0.0000 7.8975
Cd 5.1197 0.0000 5.2930
In 0.4758 0.0000 6.4424
In 7.3037 0.0000 2.6957
! - energy of formation from the pure elements (eV/atom) = -0.31
! - volume (Å³/cell) = 254.6
! - DOS(E_F) (states/eV/f.u.) = 3.8

=====

[5]
! Cs2YRh PBE relaxed; values from VASP
&SYSTEM
  ibrav = 0, nat = 4, ntyp = 3
/
ATOMIC_SPECIES
Cs 132.91 Cs.upf
Y 88.91 Y.upf
Rh 102.91 Rh.upf
CELL_PARAMETERS angstrom
0.0000 4.0649 4.0649
4.0649 0.0000 4.0649
4.0649 4.0649 0.0000
ATOMIC_POSITIONS angstrom
Cs 2.0324 2.0324 2.0324
Cs 6.0973 6.0973 6.0973
Y 0.0000 0.0000 0.0000
Rh 4.0649 4.0649 4.0649
! - energy of formation from the pure elements (eV/atom) = 1.16
! - volume (Å³/cell) = 134.3
! - DOS(E_F) (states/eV/f.u.) = 4.2

=====

[6]
! LiMgTi2 PBE relaxed; values from VASP
&SYSTEM
  ibrav = 0, nat = 8, ntyp = 3
/
ATOMIC_SPECIES
Li 6.94 Li.upf
Mg 24.30 Mg.upf
Ti 47.87 Ti.upf
CELL_PARAMETERS angstrom
-3.7626 3.7626 2.5179
3.7626 -3.7626 2.5179
3.7626 3.7626 -2.5179
ATOMIC_POSITIONS angstrom
Li 0.0000 0.0000 0.0000
Li 0.0000 3.7626 1.2590
Mg 3.7626 0.0000 1.2590
Mg 0.0000 0.0000 2.5179
Ti 5.6439 1.7671 -0.6295
Ti 1.7671 1.8813 0.6295
Ti -1.8813 1.9955 1.8884
Ti 1.9955 1.8813 3.1474
! - energy of formation from the pure elements (eV/atom) = 0.53
! - volume (Å³/cell) = 142.6
! - DOS(E_F) (states/eV/f.u.) = 3.5

=====

[7]
! CrOsRh4 PBE relaxed; values from VASP
&SYSTEM
  ibrav = 0, nat = 6, ntyp = 3
/
ATOMIC_SPECIES
Cr 52.00 Cr.upf
Os 190.23 Os.upf
Rh 102.91 Rh.upf
CELL_PARAMETERS angstrom
3.5039 -2.0069 0.0000
3.5039 2.0069 0.0000
-2.3584 0.0000 6.8978
ATOMIC_POSITIONS angstrom
Cr 0.0000 0.0000 0.0000
Os 2.3247 0.0000 3.4489
Rh -0.0016 0.0000 2.4772
Rh 2.3327 0.0000 0.8494
Rh 2.3167 0.0000 6.0484
Rh 4.6510 0.0000 4.4206
! - energy of formation from the pure elements (eV/atom) = 0.41
! - volume (Å³/cell) = 97.0
! - DOS(E_F) (states/eV/f.u.) = 7.1

=====

[8]
! Pm2BC PBE relaxed; values from VASP
&SYSTEM
  ibrav = 0, nat = 4, ntyp = 3
/
ATOMIC_SPECIES
Pm 145.00 Pm.upf
B 10.81 B.upf
C 12.01 C.upf
CELL_PARAMETERS angstrom
3.0575 0.0000 0.0000
-0.0032 3.6589 0.0000
-1.5042 -1.8188 6.9424
ATOMIC_POSITIONS angstrom
Pm 0.0000 -0.0018 1.8167
Pm 1.5501 1.8419 5.1257
B 1.5271 1.8294 0.0000
C -0.0016 1.8294 0.0000
! - energy of formation from the pure elements (eV/atom) = -0.06
! - volume (Å³/cell) = 77.7
! - DOS(E_F) (states/eV/f.u.) = 4.3

=====

[9]
! Ba3Np2PbO9 PBE relaxed; values from VASP
&SYSTEM
  ibrav = 0, nat = 15, ntyp = 4
/
ATOMIC_SPECIES
Ba 137.33 Ba.upf
Np 237.00 Np.upf
Pb 207.20 Pb.upf
O 16.00 O.upf
CELL_PARAMETERS angstrom
6.3163 0.0000 0.0000
-3.1581 5.4700 0.0000
0.0000 0.0000 7.7521
ATOMIC_POSITIONS angstrom
Ba 0.0000 0.0000 0.0000
Ba 0.0000 3.6467 5.0323
Ba 3.1581 1.8233 2.7197
Np 0.0000 3.6467 1.2223
Np 3.1581 1.8233 6.5297
Pb 0.0000 0.0000 3.8760
O -1.5791 2.7350 0.0000
O 0.0000 1.9602 2.4487
O -1.4606 4.4900 2.4487
O 1.6976 0.9801 5.3034
O 3.1581 0.0000 0.0000
O 1.5791 2.7350 0.0000
O 1.4606 4.4900 2.4487
O 4.6187 0.9801 5.3034
O 3.1581 3.5099 5.3034
! - volume (Å³/cell) = 267.8
! - DOS(E_F) (states/eV/f.u.) = 10.7
! - VASP energy (eV for the cell shown) = -119.894

=====

[10]
! Fe2ReMo PBE relaxed; values from VASP
&SYSTEM
  ibrav = 0, nat = 4, ntyp = 3
/
ATOMIC_SPECIES
Fe 55.84 Fe.upf
Re 186.21 Re.upf
Mo 95.94 Mo.upf
CELL_PARAMETERS angstrom
4.3593 -1.3331 0.0000
4.3593 1.3331 0.0000
-0.8001 0.0000 4.5020
ATOMIC_POSITIONS angstrom
Fe 0.0000 0.0000 0.0000
Fe 6.2219 0.0000 1.1826
Re 1.5908 0.0000 3.5784
Mo 3.8968 0.0000 2.1804
! - energy of formation from the pure elements (eV/atom) = 0.14
! - volume (Å³/cell) = 52.3
! - DOS(E_F) (states/eV/f.u.) = 4.6

=====

[11]
! ZnRe2Cl PBE relaxed; values from VASP
&SYSTEM
  ibrav = 0, nat = 4, ntyp = 3
/
ATOMIC_SPECIES
Zn 65.41 Zn.upf
Re 186.21 Re.upf
Cl 35.45 Cl.upf
CELL_PARAMETERS angstrom
3.1014 0.0000 0.0000
0.0000 4.7441 0.0000
-0.5106 0.0000 4.5773
ATOMIC_POSITIONS angstrom
Zn 0.0000 0.0000 0.0000
Re 0.8591 2.3721 0.9719
Re 1.7317 2.3721 3.6054
Cl 1.2954 0.0000 2.2887
! - volume (Å³/cell) = 67.3
! - DOS(E_F) (states/eV/f.u.) = 3.1
! - VASP energy (eV for the cell shown) = -24.840

=====

[12]
! TaTcAg2 PBE relaxed; values from VASP
&SYSTEM
  ibrav = 0, nat = 4, ntyp = 3
/
ATOMIC_SPECIES
Ta 180.95 Ta.upf
Tc 98.00 Tc.upf
Ag 107.87 Ag.upf
CELL_PARAMETERS angstrom
2.7478 0.0000 0.0000
0.0000 4.1512 0.0000
0.0000 0.0000 5.9349
ATOMIC_POSITIONS angstrom
Ta 0.0000 0.0000 0.0000
Tc 1.3739 2.0756 1.3239
Ag 0.0000 0.0000 2.9006
Ag 1.3739 2.0756 4.3146
! - energy of formation from the pure elements (eV/atom) = 0.30
! - volume (Å³/cell) = 67.7
! - DOS(E_F) (states/eV/f.u.) = 2.4

=====

- Look up the volume of the tenth one.
  52.3 Å³/cell